# 1
Material: Dy2MgTl3
Method: DFT, PBE-GGA
State: relaxed

Calculated volume in Å³/cell: 156.6
Distance to the lowest polymorph of the same formula in eV/atom: 0.0000
Final energy in eV/atom: -3.22
E_form in meV per atom: -236

Geometry as CIF:
```
data_Dy2MgTl3
_space_group_name_H-M_alt 'P 4/m m m'
_space_group_IT_number 123
_space_group_name_Hall '-P 4 2'
_cell_length_a 3.636
_cell_length_b 3.636
_cell_length_c 11.842
_cell_angle_alpha 90.00
_cell_angle_beta 90.00
_cell_angle_gamma 90.00
loop_
_atom_site_label
_atom_site_type_symbol
_atom_site_fract_x
_atom_site_fract_y
_atom_site_fract_z
Dy1 Dy 0.000 0.000 0.177
Mg1 Mg 0.000 0.000 0.500
Tl1 Tl 0.500 0.500 0.000
Tl2 Tl 0.500 0.500 0.350
```

***

# 2
Material: Dy4MgTl3
Method: DFT, PBE-GGA
State: relaxed

Calculated volume in Å³/cell: 224.4
Distance to the lowest polymorph of the same formula in eV/atom: 0.0506
Final energy in eV/atom: -3.62
E_form in meV per atom: -235

Geometry as CIF:
```
data_Dy4MgTl3
_space_group_name_H-M_alt 'P m m 2'
_space_group_IT_number 25
_space_group_name_Hall 'P 2 -2'
_cell_length_a 3.784
_cell_length_b 4.864
_cell_length_c 12.191
_cell_angle_alpha 90.00
_cell_angle_beta 90.00
_cell_angle_gamma 90.00
loop_
_atom_site_label
_atom_site_type_symbol
_atom_site_fract_x
_atom_site_fract_y
_atom_site_fract_z
Dy1 Dy 0.000 0.000 0.000
Dy2 Dy 0.000 0.500 0.315
Dy3 Dy 0.500 0.000 0.502
Dy4 Dy 0.500 0.500 0.819
Mg1 Mg 0.000 0.000 0.729
Tl1 Tl 0.000 0.500 0.582
Tl2 Tl 0.500 0.000 0.245
Tl3 Tl 0.500 0.500 0.076
```

***

# 3
Material: Dy2MgTl
Method: DFT, PBE-GGA
State: relaxed

Calculated volume in Å³/cell: 107.1
Distance to the lowest polymorph of the same formula in eV/atom: 0.0000
Final energy in eV/atom: -3.52
E_form in meV per atom: -233

Geometry as CIF:
```
data_Dy2MgTl
_space_group_name_H-M_alt 'P 4/m m m'
_space_group_IT_number 123
_space_group_name_Hall '-P 4 2'
_cell_length_a 4.979
_cell_length_b 4.979
_cell_length_c 4.319
_cell_angle_alpha 90.00
_cell_angle_beta 90.00
_cell_angle_gamma 90.00
loop_
_atom_site_label
_atom_site_type_symbol
_atom_site_fract_x
_atom_site_fract_y
_atom_site_fract_z
Dy1 Dy 0.000 0.500 0.000
Mg1 Mg 0.000 0.000 0.500
Tl1 Tl 0.500 0.500 0.500
```

***

# 4
Material: Dy2Mg3Tl4
Method: DFT, PBE-GGA
State: relaxed

Calculated volume in Å³/cell: 919.6
Final energy in eV/atom: -2.76
E_form in meV per atom: -151

Geometry as CIF:
```
data_Dy2Mg3Tl4
_space_group_name_H-M_alt 'C m c e'
_space_group_IT_number 64
_space_group_name_Hall '-C 2ac 2'
_cell_length_a 6.507
_cell_length_b 16.645
_cell_length_c 8.490
_cell_angle_alpha 90.00
_cell_angle_beta 90.00
_cell_angle_gamma 90.00
loop_
_atom_site_label
_atom_site_type_symbol
_atom_site_fract_x
_atom_site_fract_y
_atom_site_fract_z
Dy1 Dy 0.000 0.105 0.089
Mg1 Mg 0.000 0.000 0.500
Mg2 Mg 0.250 0.225 0.750
Tl1 Tl 0.000 0.177 0.464
Tl2 Tl 0.250 0.051 0.750
```

***

# 5
Material: DyMg3Tl
Method: DFT, PBE-GGA
State: relaxed

Calculated volume in Å³/cell: 520.0
Final energy in eV/atom: -2.40
E_form in meV per atom: -48

Geometry as CIF:
```
data_DyMg3Tl
_space_group_name_H-M_alt 'C m c m'
_space_group_IT_number 63
_space_group_name_Hall '-C 2c 2'
_cell_length_a 3.407
_cell_length_b 29.231
_cell_length_c 5.222
_cell_angle_alpha 90.00
_cell_angle_beta 90.00
_cell_angle_gamma 90.00
loop_
_atom_site_label
_atom_site_type_symbol
_atom_site_fract_x
_atom_site_fract_y
_atom_site_fract_z
Dy1 Dy 0.000 0.077 0.250
Mg1 Mg 0.000 0.321 0.750
Mg2 Mg 0.000 0.375 0.250
Mg3 Mg 0.000 0.475 0.250
Tl1 Tl 0.000 0.216 0.750
```

***

# 6
Material: Dy4Mg5Tl
Method: DFT, PBE-GGA
State: relaxed

Calculated volume in Å³/cell: 525.9
Final energy in eV/atom: -3.01
E_form in meV per atom: -135

Geometry as CIF:
```
data_Dy4Mg5Tl
_space_group_name_H-M_alt 'C 1 2/m 1'
_space_group_IT_number 12
_space_group_name_Hall '-C 2y'
_cell_length_a 15.784
_cell_length_b 5.263
_cell_length_c 6.568
_cell_angle_alpha 90.00
_cell_angle_beta 105.43
_cell_angle_gamma 90.00
loop_
_atom_site_label
_atom_site_type_symbol
_atom_site_fract_x
_atom_site_fract_y
_atom_site_fract_z
Dy1 Dy 0.099 0.000 0.395
Dy2 Dy 0.196 0.500 0.807
Mg1 Mg 0.000 0.500 0.000
Mg2 Mg 0.098 0.000 0.916
Mg3 Mg 0.201 0.500 0.300
Tl1 Tl 0.000 0.500 0.500
```

***

# 7
Material: Dy4MgTl3
Method: DFT, PBE-GGA
State: relaxed

Calculated volume in Å³/cell: 433.5
Distance to the lowest polymorph of the same formula in eV/atom: 0.0000
Final energy in eV/atom: -3.67
E_form in meV per atom: -286

Geometry as CIF:
```
data_Dy4MgTl3
_space_group_name_H-M_alt 'C 1 2/m 1'
_space_group_IT_number 12
_space_group_name_Hall '-C 2y'
_cell_length_a 16.040
_cell_length_b 5.354
_cell_length_c 5.354
_cell_angle_alpha 90.00
_cell_angle_beta 109.44
_cell_angle_gamma 90.00
loop_
_atom_site_label
_atom_site_type_symbol
_atom_site_fract_x
_atom_site_fract_y
_atom_site_fract_z
Dy1 Dy 0.125 0.000 0.125
Dy2 Dy 0.125 0.500 0.625
Mg1 Mg 0.000 0.000 0.500
Tl1 Tl 0.000 0.500 0.000
Tl2 Tl 0.245 0.000 0.745
```

***

# 8
Material: Dy6MgTl
Method: DFT, PBE-GGA
State: relaxed

Calculated volume in Å³/cell: 509.5
Distance to the lowest polymorph of the same formula in eV/atom: 0.3372
Final energy in eV/atom: -3.72
E_form in meV per atom: 225

Geometry as CIF:
```
data_Dy6MgTl
_space_group_name_H-M_alt 'C 1 2/m 1'
_space_group_IT_number 12
_space_group_name_Hall '-C 2y'
_cell_length_a 6.961
_cell_length_b 12.146
_cell_length_c 6.955
_cell_angle_alpha 90.00
_cell_angle_beta 119.95
_cell_angle_gamma 90.00
loop_
_atom_site_label
_atom_site_type_symbol
_atom_site_fract_x
_atom_site_fract_y
_atom_site_fract_z
Dy1 Dy 0.247 0.213 0.254
Dy2 Dy 0.249 0.000 0.747
Mg1 Mg 0.000 0.500 0.500
Tl1 Tl 0.000 0.000 0.000
```

***

# 9
Material: DyMgTl2
Method: DFT, PBE-GGA
State: relaxed

Calculated volume in Å³/cell: 323.5
Distance to the lowest polymorph of the same formula in eV/atom: 0.1633
Final energy in eV/atom: -2.83
E_form in meV per atom: -95

Geometry as CIF:
```
data_DyMgTl2
_space_group_name_H-M_alt 'R 3 m'
_space_group_IT_number 160
_space_group_name_Hall 'R 3 -2"'
_cell_length_a 3.5138
_cell_length_b 3.5138
_cell_length_c 30.2540
_cell_angle_alpha 90.00
_cell_angle_beta 90.00
_cell_angle_gamma 120.00
loop_
_atom_site_label
_atom_site_type_symbol
_atom_site_fract_x
_atom_site_fract_y
_atom_site_fract_z
Dy1 Dy 0.0000 0.0000 0.0000
Mg1 Mg 0.0000 0.0000 0.8339
Tl1 Tl 0.0000 0.0000 0.4214
Tl2 Tl 0.0000 0.0000 0.5796
```

***

# 10
Material: DyMgTl6
Method: DFT, PBE-GGA
State: relaxed

Calculated volume in Å³/cell: 441.2
Final energy in eV/atom: -2.61
E_form in meV per atom: -61

Geometry as CIF:
```
data_DyMgTl6
_space_group_name_H-M_alt 'C m m m'
_space_group_IT_number 65
_space_group_name_Hall '-C 2 2'
_cell_length_a 9.284
_cell_length_b 9.994
_cell_length_c 4.755
_cell_angle_alpha 90.00
_cell_angle_beta 90.00
_cell_angle_gamma 90.00
loop_
_atom_site_label
_atom_site_type_symbol
_atom_site_fract_x
_atom_site_fract_y
_atom_site_fract_z
Dy1 Dy 0.000 0.000 0.000
Mg1 Mg 0.000 0.500 0.000
Tl1 Tl 0.000 0.240 0.500
Tl2 Tl 0.236 0.500 0.500
Tl3 Tl 0.250 0.250 0.000
```

***

# 11
Material: Dy8MgTl2
Method: DFT, PBE-GGA
State: relaxed

Calculated volume in Å³/cell: 322.3
Distance to the lowest polymorph of the same formula in eV/atom: 0.0000
Final energy in eV/atom: -4.06
E_form in meV per atom: -134

Geometry as CIF:
```
data_Dy8MgTl2
_space_group_name_H-M_alt 'P -1'
_space_group_IT_number 2
_space_group_name_Hall '-P 1'
_cell_length_a 5.391
_cell_length_b 8.573
_cell_length_c 8.586
_cell_angle_alpha 119.43
_cell_angle_beta 90.07
_cell_angle_gamma 108.29
loop_
_atom_site_label
_atom_site_type_symbol
_atom_site_fract_x
_atom_site_fract_y
_atom_site_fract_z
Dy1 Dy 0.064 0.129 0.221
Dy2 Dy 0.136 0.271 0.680
Dy3 Dy 0.320 0.639 0.558
Dy4 Dy 0.410 0.819 0.050
Mg1 Mg 0.500 0.000 0.500
Tl1 Tl 0.228 0.457 0.128
```

***

# 12
Material: Dy2TmMgTl4
Method: DFT, PBE-GGA
State: relaxed

Calculated volume in Å³/cell: 632.3
Final energy in eV/atom: -3.37
E_form in meV per atom: -274

Geometry as CIF:
```
data_Dy2TmMgTl4
_space_group_name_H-M_alt 'R -3 m'
_space_group_IT_number 166
_space_group_name_Hall '-R 3 2"'
_cell_length_a 5.2433
_cell_length_b 5.2433
_cell_length_c 26.5568
_cell_angle_alpha 90.00
_cell_angle_beta 90.00
_cell_angle_gamma 120.00
loop_
_atom_site_label
_atom_site_type_symbol
_atom_site_fract_x
_atom_site_fract_y
_atom_site_fract_z
Dy1 Dy 0.0000 0.0000 0.2440
Tm1 Tm 0.0000 0.0000 0.0000
Mg1 Mg 0.0000 0.0000 0.5000
Tl1 Tl 0.0000 0.0000 0.1236
Tl2 Tl 0.0000 0.0000 0.3748
```

***

Question: What is the formula in the twelfth record?
Answer: Dy2TmMgTl4